VASP calculation (PBE) on a relaxed structure of MnVPt14.

## Properties
Energy relative to the elements in eV/atom: -0.24

Geometry as POSCAR:
```
MnVPt14
1.0
5.601 -0.012 0.000
0.012 5.601 0.000
0.000 0.000 7.823
Mn V Pt
1 1 14
direct
0.375 0.375 0.500
0.875 0.875 0.500
0.875 0.875 0.000
0.375 0.375 0.000
0.875 0.375 0.500
0.875 0.375 0.000
0.375 0.875 0.500
0.375 0.875 0.000
0.627 0.123 0.259
0.627 0.123 0.741
0.123 0.627 0.259
0.123 0.627 0.741
0.627 0.627 0.259
0.627 0.627 0.741
0.123 0.123 0.259
0.123 0.123 0.741
```